A relaxed structure of Mg2TaBr. Source: Alexandria via LeMat-Bulk, functional PBE.

Values from the calculation:
Offset from the most stable computed form   400 meV/atom
Fermi-level density of states   3.5 states/eV per cell
V   21.5 A^3/atom
Formation energy (no corrections)   0.362 eV per atom

a b c (Å): 5.2438 5.2438 3.1260
angles (deg): 90.00 90.00 90.00
Fractional positions:
Mg 0.0000 0.5000 0.0000
Mg 0.5000 0.0000 0.0000
Ta 0.0000 0.0000 0.5000
Br 0.5000 0.5000 0.5000